Compound: Tl2CoSbO4
Source: Alexandria via LeMat-Bulk
Functional: GGA+U
Structure: relaxed

POSCAR file:
```
Tl2CoSbO4
1.0
-0.011 5.864 4.686
-5.495 -1.841 0.589
3.594 -3.387 0.982
Tl O Co Sb
2 4 1 1
Direct
0.414 0.903 0.885 Tl
0.159 0.179 0.395 Tl
0.938 0.110 0.681 O
0.987 0.576 0.377 O
0.282 0.742 0.196 O
0.833 0.687 0.844 O
0.013 0.499 0.976 Co
0.762 0.691 0.420 Sb
```

The value obtained for the total magnetization is 3.996 μB per formula unit. The raw total energy is -5.1327 eV per atom.